Li2IrCl after structural relaxation, computed with GGA-PBEsol.

a b c (Å): 2.962 2.962 6.859
angles (deg): 90.00 90.00 90.00
Last column: magnetic moment on the atom in μB.
Fractional positions:
1 Li 0.000 0.000 0.032  0.00
2 Li 0.500 0.500 0.272  0.00
3 Cl 0.000 0.000 0.377  0.70
4 Ir 0.500 0.500 0.819  0.00

E = -4.12 eV/atom
D(E_F) = 2.5 states/eV/f.u.
V = 15.045 A^3/atom

SiIrI2N after structural relaxation, computed with GGA-PBEsol.

a b c (Å): 3.686 5.505 5.505
angles (deg): 90.00 90.00 90.00
Fractional positions:
1 I 0.000 0.500 0.000
2 I 0.000 0.000 0.500
3 N 0.500 0.000 0.000
4 Si 0.500 0.500 0.500
5 Ir 0.000 0.000 0.000

E = -4.93 eV/atom
ΔE to the lowest computed polymorph = 0.0 meV/atom
D(E_F) = 1.5 states/eV/f.u.
V = 22.340 A^3/atom